P) Sc2AlCuC: relaxed, PBE.

Its crystal system is tetragonal. The magnetic moment comes out at 0.00 Bohr magnetons per cell.

The space group is P4/mmm (No. 123) and the conventional cell measures 4.501, 4.501 and 3.959 Å, with angles of 90.00, 90.00 and 90.00 degrees. The asymmetric unit holds Sc at (0.000, 0.500, 0.000), Al at (0.000, 0.000, 0.500), Cu at (0.500, 0.500, 0.500) and C at (0.500, 0.500, 0.000).

=====

Q) Sc2AlCuC: relaxed, PBE.

Its crystal system is tetragonal. The magnetic moment comes out at 0.00 Bohr magnetons per cell.

The space group is P4/mmm (No. 123) and the conventional cell measures 4.527, 4.527 and 3.892 Å, with angles of 90.00, 90.00 and 90.00 degrees. The asymmetric unit holds Sc at (0.000, 0.500, 0.000), Al at (0.000, 0.000, 0.500), Cu at (0.500, 0.500, 0.500) and C at (0.000, 0.000, 0.000).

=====

Of them, the most stable is Q) and the least stable is P).

=====

P) DyAlC: relaxed, PBE.

Its crystal system is tetragonal. The magnetic moment comes out at 0.00 Bohr magnetons per cell.

The space group is I4/mmm (No. 139) and the conventional cell measures 3.629, 3.629 and 17.532 Å, with angles of 90.00, 90.00 and 90.00 degrees. The asymmetric unit holds Dy at (0.000, 0.000, 0.182), Al at (0.000, 0.000, 0.429) and C at (0.000, 0.000, 0.320).

=====

Q) DyAlC: relaxed, PBE.

Its crystal system is trigonal. The magnetic moment comes out at 0.00 Bohr magnetons per cell.

The space group is P3m1 (No. 156) and the conventional cell measures 3.4294, 3.4294 and 4.9843 Å, with angles of 90.00, 90.00 and 120.00 degrees. The asymmetric unit holds Dy at (0.0000, 0.0000, 0.0000), Al at (0.6667, 0.3333, 0.5355) and C at (0.3333, 0.6667, 0.7202).

=====

Of them, the most stable is Q) and the least stable is P).

=====

P) Al2CF: relaxed, PBE.

Its crystal system is cubic. The magnetic moment comes out at 0.00 Bohr magnetons per cell.

The space group is Fm-3m (No. 225) and the conventional cell measures 5.523, 5.523 and 5.523 Å, with angles of 90.00, 90.00 and 90.00 degrees. The asymmetric unit holds Al at (0.250, 0.250, 0.250), C at (0.000, 0.000, 0.000) and F at (0.000, 0.000, 0.500).

=====

Q) Al2CF: relaxed, PBE.

Its crystal system is tetragonal. The magnetic moment comes out at 0.00 Bohr magnetons per cell.

The space group is I-42d (No. 122) and the conventional cell measures 4.744, 4.744 and 9.639 Å, with angles of 90.00, 90.00 and 90.00 degrees. The asymmetric unit holds Al at (0.200, 0.250, 0.125), C at (0.000, 0.000, 0.000) and F at (0.000, 0.000, 0.500).

=====

Of them, the most stable is Q) and the least stable is P).

=====

P) AlCF3: relaxed, PBE.

Its crystal system is cubic. The magnetic moment comes out at 2.00 Bohr magnetons per cell.

The space group is Pm-3m (No. 221) and the conventional cell measures 3.749, 3.749 and 3.749 Å, with angles of 90.00, 90.00 and 90.00 degrees. The asymmetric unit holds Al at (0.000, 0.000, 0.000), C at (0.500, 0.500, 0.500) and F at (0.000, 0.000, 0.500).

=====

Q) AlCF3: relaxed, PBE.

Its crystal system is cubic. The magnetic moment comes out at 0.00 Bohr magnetons per cell.

The space group is Pm-3m (No. 221) and the conventional cell measures 3.948, 3.948 and 3.948 Å, with angles of 90.00, 90.00 and 90.00 degrees. The asymmetric unit holds Al at (0.000, 0.000, 0.000), C at (0.500, 0.500, 0.500) and F at (0.000, 0.500, 0.500).

=====

Of them, the most stable is P) and the least stable is Q).

=====

P) AlC3F: relaxed, PBE.

Its crystal system is cubic. The magnetic moment comes out at 0.54 Bohr magnetons per cell.

The space group is Pm-3m (No. 221) and the conventional cell measures 3.960, 3.960 and 3.960 Å, with angles of 90.00, 90.00 and 90.00 degrees. The asymmetric unit holds Al at (0.000, 0.000, 0.000), C at (0.000, 0.000, 0.500) and F at (0.500, 0.500, 0.500).

=====

Q) AlC3F: relaxed, PBE.

Its crystal system is cubic. The magnetic moment comes out at 0.00 Bohr magnetons per cell.

The space group is Pm-3m (No. 221) and the conventional cell measures 3.703, 3.703 and 3.703 Å, with angles of 90.00, 90.00 and 90.00 degrees. The asymmetric unit holds Al at (0.000, 0.000, 0.000), C at (0.000, 0.500, 0.500) and F at (0.500, 0.500, 0.500).

=====

Of them, the most stable is P) and the least stable is Q).

=====

P) AlCN2F: relaxed, PBE.

Its crystal system is tetragonal. The magnetic moment comes out at 1.38 Bohr magnetons per cell.

The space group is P4/mmm (No. 123) and the conventional cell measures 3.871, 3.871 and 3.527 Å, with angles of 90.00, 90.00 and 90.00 degrees. The asymmetric unit holds Al at (0.000, 0.000, 0.000), C at (0.500, 0.500, 0.500), N at (0.000, 0.500, 0.000) and F at (0.000, 0.000, 0.500).

=====

Q) AlCN2F: relaxed, PBE.

Its crystal system is tetragonal. The magnetic moment comes out at 0.21 Bohr magnetons per cell.

The space group is P4/mmm (No. 123) and the conventional cell measures 3.402, 3.402 and 3.453 Å, with angles of 90.00, 90.00 and 90.00 degrees. The asymmetric unit holds Al at (0.000, 0.000, 0.000), C at (0.500, 0.500, 0.500), N at (0.000, 0.500, 0.500) and F at (0.500, 0.500, 0.000).

=====

Of them, the most stable is Q) and the least stable is P).

=====

P) AlCNF2: relaxed, PBE.

Its crystal system is tetragonal. The magnetic moment comes out at 0.03 Bohr magnetons per cell.

The space group is P4/mmm (No. 123) and the conventional cell measures 3.541, 3.541 and 4.101 Å, with angles of 90.00, 90.00 and 90.00 degrees. The asymmetric unit holds Al at (0.000, 0.000, 0.000), C at (0.500, 0.500, 0.500), N at (0.000, 0.000, 0.500) and F at (0.000, 0.500, 0.000).

=====

Q) AlCNF2: relaxed, PBE.

Its crystal system is tetragonal. The magnetic moment comes out at 0.00 Bohr magnetons per cell.

The space group is P4/mmm (No. 123) and the conventional cell measures 4.679, 4.679 and 2.474 Å, with angles of 90.00, 90.00 and 90.00 degrees. The asymmetric unit holds Al at (0.000, 0.000, 0.000), C at (0.500, 0.500, 0.500), N at (0.500, 0.500, 0.000) and F at (0.000, 0.500, 0.500).

=====

Of them, the most stable is Q) and the least stable is P).

=====

P) AlFe3C: relaxed, PBE.

Its crystal system is cubic. The magnetic moment comes out at 7.69 Bohr magnetons per cell.

The space group is Pm-3m (No. 221) and the conventional cell measures 4.333, 4.333 and 4.333 Å, with angles of 90.00, 90.00 and 90.00 degrees. The asymmetric unit holds Al at (0.000, 0.000, 0.000), Fe at (0.000, 0.000, 0.500) and C at (0.500, 0.500, 0.500).

=====

Q) AlFe3C: relaxed, PBE.

Its crystal system is cubic. The magnetic moment comes out at 3.01 Bohr magnetons per cell.

The space group is Pm-3m (No. 221) and the conventional cell measures 3.754, 3.754 and 3.754 Å, with angles of 90.00, 90.00 and 90.00 degrees. The asymmetric unit holds Al at (0.000, 0.000, 0.000), Fe at (0.000, 0.500, 0.500) and C at (0.500, 0.500, 0.500).

=====

Of them, the most stable is Q) and the least stable is P).

=====

P) AlFe2IrC: relaxed, PBE.

Its crystal system is tetragonal. The magnetic moment comes out at 2.11 Bohr magnetons per cell.

The space group is P4/mmm (No. 123) and the conventional cell measures 3.781, 3.781 and 4.050 Å, with angles of 90.00, 90.00 and 90.00 degrees. The asymmetric unit holds Al at (0.000, 0.000, 0.000), Fe at (0.000, 0.500, 0.500), Ir at (0.500, 0.500, 0.000) and C at (0.500, 0.500, 0.500).

=====

Q) AlFe2IrC: relaxed, PBE.

Its crystal system is tetragonal. The magnetic moment comes out at 0.98 Bohr magnetons per cell.

The space group is P4/mmm (No. 123) and the conventional cell measures 4.459, 4.459 and 4.644 Å, with angles of 90.00, 90.00 and 90.00 degrees. The asymmetric unit holds Al at (0.000, 0.000, 0.000), Fe at (0.000, 0.500, 0.500), Ir at (0.000, 0.000, 0.500) and C at (0.500, 0.500, 0.000).

=====

Of them, the most stable is P) and the least stable is Q).

=====

P) AlGa2C2: relaxed, PBE.

Its crystal system is tetragonal. The magnetic moment comes out at 0.00 Bohr magnetons per cell.

The space group is I4/mmm (No. 139) and the conventional cell measures 4.170, 4.170 and 7.763 Å, with angles of 90.00, 90.00 and 90.00 degrees. The asymmetric unit holds Al at (0.000, 0.000, 0.000), Ga at (0.000, 0.500, 0.250) and C at (0.000, 0.000, 0.411).

=====

Q) AlGa2C2: relaxed, PBE.

Its crystal system is tetragonal. The magnetic moment comes out at 0.00 Bohr magnetons per cell.

The space group is P4/mbm (No. 127) and the conventional cell measures 6.208, 6.208 and 3.504 Å, with angles of 90.00, 90.00 and 90.00 degrees. The asymmetric unit holds Al at (0.000, 0.000, 0.000), Ga at (0.140, 0.360, 0.500) and C at (0.242, 0.258, 0.000).

=====

Of them, the most stable is Q) and the least stable is P).

=====

P) Al2GeC2: relaxed, PBE.

Its crystal system is tetragonal. The magnetic moment comes out at 0.00 Bohr magnetons per cell.

The space group is I4/mmm (No. 139) and the conventional cell measures 3.647, 3.647 and 10.107 Å, with angles of 90.00, 90.00 and 90.00 degrees. The asymmetric unit holds Al at (0.000, 0.500, 0.250), Ge at (0.000, 0.000, 0.000) and C at (0.000, 0.000, 0.337).

=====

Q) Al2GeC2: relaxed, PBE.

Its crystal system is tetragonal. The magnetic moment comes out at 0.00 Bohr magnetons per cell.

The space group is P4/mbm (No. 127) and the conventional cell measures 6.077, 6.077 and 3.049 Å, with angles of 90.00, 90.00 and 90.00 degrees. The asymmetric unit holds Al at (0.148, 0.352, 0.000), Ge at (0.000, 0.000, 0.500) and C at (0.184, 0.684, 0.500).

=====

Of them, the most stable is P) and the least stable is Q).

=====

P) AlGeC2: relaxed, PBE.

Its crystal system is cubic. The magnetic moment comes out at 0.00 Bohr magnetons per cell.

The space group is Fm-3m (No. 225) and the conventional cell measures 5.567, 5.567 and 5.567 Å, with angles of 90.00, 90.00 and 90.00 degrees. The asymmetric unit holds Al at (0.000, 0.000, 0.000), Ge at (0.000, 0.000, 0.500) and C at (0.250, 0.250, 0.250).

=====

Q) AlGeC2: relaxed, PBE.

Its crystal system is tetragonal. The magnetic moment comes out at 0.00 Bohr magnetons per cell.

The space group is I-42d (No. 122) and the conventional cell measures 4.671, 4.671 and 9.074 Å, with angles of 90.00, 90.00 and 90.00 degrees. The asymmetric unit holds Al at (0.000, 0.000, 0.000), Ge at (0.000, 0.000, 0.500) and C at (0.243, 0.250, 0.625).

=====

Of them, the most stable is Q) and the least stable is P).

=====

P) AlGe2C: relaxed, PBE.

Its crystal system is cubic. The magnetic moment comes out at 0.00 Bohr magnetons per cell.

The space group is Fm-3m (No. 225) and the conventional cell measures 6.281, 6.281 and 6.281 Å, with angles of 90.00, 90.00 and 90.00 degrees. The asymmetric unit holds Al at (0.000, 0.000, 0.000), Ge at (0.250, 0.250, 0.250) and C at (0.000, 0.000, 0.500).

=====

Q) AlGe2C: relaxed, PBE.

Its crystal system is tetragonal. The magnetic moment comes out at 0.00 Bohr magnetons per cell.

The space group is I-42d (No. 122) and the conventional cell measures 5.368, 5.368 and 9.823 Å, with angles of 90.00, 90.00 and 90.00 degrees. The asymmetric unit holds Al at (0.000, 0.000, 0.000), Ge at (0.176, 0.250, 0.625) and C at (0.000, 0.000, 0.500).

=====

Of them, the most stable is Q) and the least stable is P).

=====

P) AlHgC: relaxed, PBE.

Its crystal system is triclinic. The magnetic moment comes out at 0.00 Bohr magnetons per cell.

The space group is P1 (No. 1) and the conventional cell measures 3.203, 4.319 and 9.292 Å, with angles of 95.10, 99.70 and 111.74 degrees. The asymmetric unit holds Al at (0.000, 0.000, 0.000), Al at (0.246, 0.714, 0.775), Hg at (0.168, 0.048, 0.291), Hg at (0.611, 0.709, 0.518), C at (0.545, 0.187, 0.899) and C at (0.702, 0.523, 0.880).

=====

Q) AlHgC: relaxed, PBE.

Its crystal system is monoclinic. The magnetic moment comes out at 0.00 Bohr magnetons per cell.

The space group is Pm (No. 6) and the conventional cell measures 5.879, 3.217 and 6.265 Å, with angles of 90.00, 98.81 and 90.00 degrees. The asymmetric unit holds Al at (0.000, 0.000, 0.000), Al at (0.077, 0.000, 0.603), Hg at (0.505, 0.000, 0.182), Hg at (0.568, 0.000, 0.690), C at (0.005, 0.500, 0.195) and C at (0.029, 0.500, 0.408).

=====

Of them, the most stable is P) and the least stable is Q).